# 1
Compound: SbMo4AsC2
Source: the Open Quantum Materials Database
Functional: GGA-PBE
Structure: optimized geometry

Calculated values
The energy is -8.814 eV per atom.

POSCAR file:
```
SbMo4AsC2
1.0
3.2373 0.0000 0.0000
-1.6187 2.8036 0.0000
0.0000 0.0000 12.6256
As C Mo Sb
1 2 4 1
direct
0.0000 0.0000 0.0000
0.3333 0.6667 0.2414
0.3333 0.6667 0.7586
0.6667 0.3333 0.1514
0.0000 0.0000 0.3215
0.0000 0.0000 0.6785
0.6667 0.3333 0.8486
0.6667 0.3333 0.5000
```

***

# 2
Compound: Al2Os3
Source: the Open Quantum Materials Database
Functional: GGA-PBE
Structure: optimized geometry

Calculated values
The energy is -7.692 eV per atom.

POSCAR file:
```
Al2Os3
1.0
4.3602 -1.7830 4.3390
-4.4742 4.3151 1.5426
0.3910 -5.1413 2.2209
Al Os
4 6
direct
0.5963 0.4037 0.2110
0.9037 0.0963 0.2890
0.0963 0.9037 0.7110
0.4037 0.5963 0.7890
0.5053 0.7500 0.2500
0.9947 0.4947 0.2500
0.2500 0.0053 0.2500
0.0053 0.5053 0.7500
0.4947 0.2500 0.7500
0.7500 0.9947 0.7500
```

***

# 3
Compound: HfMg2Ga
Source: the Open Quantum Materials Database
Functional: GGA-PBE
Structure: optimized geometry

Calculated values
The energy is -3.980 eV per atom.

POSCAR file:
```
HfMg2Ga
1.0
0.0000 3.3999 3.3999
3.3999 0.0000 3.3999
3.3999 3.3999 0.0000
Ga Hf Mg
1 1 2
direct
0.5000 0.5000 0.5000
0.2500 0.2500 0.2500
0.0000 0.0000 0.0000
0.7500 0.7500 0.7500
```

***

# 4
Compound: Lu2MgIn
Source: the Open Quantum Materials Database
Functional: GGA-PBE
Structure: optimized geometry

Calculated values
The energy is -3.384 eV per atom. The energy above the lowest structure with this stoichiometry comes out at 0 meV per atom.

POSCAR file:
```
Lu2MgIn
1.0
-4.5057 2.1267 -0.0725
0.4883 -4.7548 1.4080
1.2198 2.9043 9.3849
In Lu Mg
2 4 2
direct
0.6667 0.3333 0.2500
0.3333 0.6667 0.7500
0.3333 0.6667 0.0865
0.3333 0.6667 0.4135
0.6667 0.3333 0.5865
0.6667 0.3333 0.9135
0.0000 0.0000 0.2500
0.0000 0.0000 0.7500
```

***

# 5
Compound: NaFeBi
Source: the Open Quantum Materials Database
Functional: GGA-PBE
Structure: optimized geometry

Calculated values
The energy is -3.642 eV per atom.

POSCAR file:
```
NaFeBi
1.0
0.0000 3.3492 3.3492
3.3492 0.0000 3.3492
3.3492 3.3492 0.0000
Bi Fe Na
1 1 1
direct
0.2500 0.2500 0.2500
0.7500 0.7500 0.7500
0.0000 0.0000 0.0000
```

***

# 6
Compound: NdTmSb
Source: the Open Quantum Materials Database
Functional: GGA-PBE
Structure: optimized geometry

Calculated values
The energy is -4.981 eV per atom.

POSCAR file:
```
NdTmSb
1.0
0.0000 3.6236 3.6236
3.6236 0.0000 3.6236
3.6236 3.6236 0.0000
Nd Sb Tm
1 1 1
direct
0.2500 0.2500 0.2500
0.0000 0.0000 0.0000
0.7500 0.7500 0.7500
```

***

Ρ for every record listed, in sequence, given in g cm⁻³: 8.76; 13.82; 6.27; 7.63; 6.36; 7.59.
M_tot for every record listed, in sequence, given in μB/cell: 0.005; 0.670; 0.039; 0.004; 3.270; 0.020.